Here is a relaxed structure of Tc3C4 from Alexandria. Energies are from GGA-PBE.

Computed properties:
- total DFT energy (no corrections) (eV per atom) = -8.7507
- density of states at the Fermi level (states/eV per cell) = 2.5
- energy above the lowest structure with this stoichiometry (eV/f.u.) = 0.50
- energy of formation from the pure elements (meV/atom) = 963
- total magnetization (μB per formula unit) = 0.000

```
Tc3C4
1.0
-3.4827 -2.0815 7.7308
-5.0639 1.4545 6.9619
2.7602 -0.5626 -8.2639
C Tc
4 3
direct
0.5640 0.5640 0.0000
0.1405 0.1405 0.0000
0.4360 0.4360 0.0000
0.8595 0.8595 0.0000
0.0000 0.0000 0.0000
0.6870 0.6870 0.0000
0.3130 0.3130 0.0000
```

Here is a relaxed structure of TcC4 from Alexandria. Energies are from GGA-PBE.

Computed properties:
- total DFT energy (no corrections) (eV per atom) = -6.2294
- density of states at the Fermi level (states/eV per cell) = 4.8
- energy above the lowest structure with this stoichiometry (eV/f.u.) = 2.39
- energy of formation from the pure elements (meV/atom) = 3223
- total magnetization (μB per formula unit) = 0.847

```
TcC4
1.0
-1.6794 2.3737 2.7533
-3.6344 -1.1635 -1.2137
0.0805 -3.0078 2.6423
Tc C
1 4
direct
0.5000 0.5000 0.5000
0.0000 0.0000 0.0000
0.5000 0.0000 0.5000
0.5000 0.5000 0.0000
0.0000 0.5000 0.5000
```